Entry from the Alexandria database: a relaxed structure of UCoC (GGA-PBE).

extended XYZ file:
```
3
Lattice="-1.877 1.877 3.091 1.877 -1.877 3.091 1.877 1.877 -3.091" Properties=species:S:1:pos:R:3 pbc="T T T"
U 0.000 0.000 0.000
Co 0.000 0.000 2.177
C 0.000 0.000 4.014
```

Computed properties:
* D(E_F): 3.8 states/eV/cell
* volume: 14.53 Å³ per atom
* total moment: 0.412 μB/f.u.
* DFT formation energy: 0.510 eV per atom
* total DFT energy (no corrections): -26.089 eV for the cell shown